<A>
The following is a DFT calculation (PBE) of a geometry-optimized Nd3Ag2 structure.

Lattice parameters (Å, degrees): 3.7298 3.7298 20.3277 90.00 90.00 90.00
Space group P4/mmm (No. 123)
Symmetry-distinct sites (fractional):
Nd 0.0000 0.0000 0.0000 (multiplicity 1)
Nd 0.0000 0.0000 0.1877 (multiplicity 2)
Nd 0.0000 0.0000 0.3741 (multiplicity 2)
Nd 0.5000 0.5000 0.5000 (multiplicity 1)
Ag 0.5000 0.5000 0.0939 (multiplicity 2)
Ag 0.5000 0.5000 0.2808 (multiplicity 2)

***

<B>
The following is a DFT calculation (PBE) of a geometry-optimized Nd3Ag2 structure.

Lattice parameters (Å, degrees): 16.0139 5.2004 10.3449 90.00 92.98 90.00
Space group C2/m (No. 12)
Symmetry-distinct sites (fractional):
Nd 0.0000 0.0000 0.0000 (multiplicity 2)
Nd 0.0108 0.0000 0.3297 (multiplicity 4)
Nd 0.1089 0.5000 0.5602 (multiplicity 4)
Nd 0.1518 0.5000 0.9356 (multiplicity 4)
Nd 0.2469 0.0000 0.7318 (multiplicity 4)
Ag 0.0501 0.5000 0.1875 (multiplicity 4)
Ag 0.1677 0.0000 0.1478 (multiplicity 4)
Ag 0.1980 0.0000 0.4426 (multiplicity 4)

***

The most stable of them is <A>.

***

<A>
The following is a DFT calculation (PBE) of a geometry-optimized Nd8NiAg2 structure.

Lattice parameters (Å, degrees): 7.6032 16.5013 6.2880 90.00 121.82 90.00
Space group Cm (No. 8)
Symmetry-distinct sites (fractional):
Nd 0.0000 0.0000 0.0000 (multiplicity 2)
Nd 0.0262 0.3875 0.8810 (multiplicity 4)
Nd 0.0366 0.5000 0.3852 (multiplicity 2)
Nd 0.2590 0.1967 0.2103 (multiplicity 4)
Nd 0.4801 0.3854 0.5144 (multiplicity 4)
Ni 0.2548 0.0000 0.5169 (multiplicity 2)
Ag 0.2593 0.2788 0.7112 (multiplicity 4)

***

<B>
The following is a DFT calculation (PBE) of a geometry-optimized Nd8NiAg2 structure.

Lattice parameters (Å, degrees): 18.0549 5.2642 7.0082 90.00 102.26 90.00
Space group C2/m (No. 12)
Symmetry-distinct sites (fractional):
Nd 0.0237 0.0000 0.2807 (multiplicity 4)
Nd 0.0883 0.5000 0.9438 (multiplicity 4)
Nd 0.1552 0.5000 0.4707 (multiplicity 4)
Nd 0.2014 0.0000 0.8220 (multiplicity 4)
Ni 0.0000 0.5000 0.5000 (multiplicity 2)
Ag 0.1901 0.0000 0.2421 (multiplicity 4)

***

The most stable of them is <B>.